# 1
# GGA-PBE BaZn2FeSe, relaxed
# Density of states at the Fermi level ... 4.7 states/eV per cell
# V ... 27.72 A^3/atom
# ΔE_f (raw) ... 51 meV/atom
data_BaZn2FeSe
_space_group_name_H-M_alt 'P 4/m m m'
_space_group_IT_number 123
_space_group_name_Hall '-P 4 2'
_cell_length_a 4.747
_cell_length_b 4.747
_cell_length_c 6.150
_cell_angle_alpha 90.00
_cell_angle_beta 90.00
_cell_angle_gamma 90.00
loop_
_atom_site_label
_atom_site_type_symbol
_atom_site_fract_x
_atom_site_fract_y
_atom_site_fract_z
Ba1 Ba 0.000 0.000 0.000
Zn1 Zn 0.000 0.500 0.500
Fe1 Fe 0.000 0.000 0.500
Se1 Se 0.500 0.500 0.000

# 2
# GGA-PBE LuZrTlHg, relaxed
# Density of states at the Fermi level ... 19.1 states/eV per cell
# V ... 23.58 A^3/atom
# Formation energy from the elements ... -0.1704 eV/atom
data_LuZrTlHg
_space_group_name_H-M_alt 'F -4 3 m'
_space_group_IT_number 216
_space_group_name_Hall 'F -4 2 3'
_cell_length_a 7.226
_cell_length_b 7.226
_cell_length_c 7.226
_cell_angle_alpha 90.00
_cell_angle_beta 90.00
_cell_angle_gamma 90.00
loop_
_atom_site_label
_atom_site_type_symbol
_atom_site_fract_x
_atom_site_fract_y
_atom_site_fract_z
Lu1 Lu 0.000 0.000 0.000
Zr1 Zr 0.000 0.000 0.500
Tl1 Tl 0.250 0.250 0.250
Hg1 Hg 0.250 0.250 0.750

# 3
# GGA-PBE CdSi2Rh, relaxed
# Density of states at the Fermi level ... 2.2 states/eV per cell
# V ... 16.52 A^3/atom
# ΔE_f (raw) ... -64 meV/atom
data_CdSi2Rh
_space_group_name_H-M_alt 'P 4/m m m'
_space_group_IT_number 123
_space_group_name_Hall '-P 4 2'
_cell_length_a 2.942
_cell_length_b 2.942
_cell_length_c 7.639
_cell_angle_alpha 90.00
_cell_angle_beta 90.00
_cell_angle_gamma 90.00
loop_
_atom_site_label
_atom_site_type_symbol
_atom_site_fract_x
_atom_site_fract_y
_atom_site_fract_z
Cd1 Cd 0.000 0.000 0.000
Si1 Si 0.500 0.500 0.301
Rh1 Rh 0.000 0.000 0.500

# 4
# GGA-PBE LaCeGa5Ir2, relaxed
# Density of states at the Fermi level ... 8.0 states/eV per cell
# V ... 23.02 A^3/atom
# Formation energy from the elements ... -0.4011 eV/atom
data_LaCeGa5Ir2
_space_group_name_H-M_alt 'P 4/m m m'
_space_group_IT_number 123
_space_group_name_Hall '-P 4 2'
_cell_length_a 4.753
_cell_length_b 4.753
_cell_length_c 9.171
_cell_angle_alpha 90.00
_cell_angle_beta 90.00
_cell_angle_gamma 90.00
loop_
_atom_site_label
_atom_site_type_symbol
_atom_site_fract_x
_atom_site_fract_y
_atom_site_fract_z
La1 La 0.000 0.000 0.000
Ce1 Ce 0.000 0.000 0.500
Ga1 Ga 0.000 0.500 0.283
Ga2 Ga 0.500 0.500 0.000
Ir1 Ir 0.500 0.500 0.253

# 5
# GGA-PBE La2YRu, relaxed
# Density of states at the Fermi level ... 9.1 states/eV per cell
# V ... 25.95 A^3/atom
# Formation energy from the elements ... 0.1493 eV/atom
data_La2YRu
_space_group_name_H-M_alt 'I 4/m m m'
_space_group_IT_number 139
_space_group_name_Hall '-I 4 2'
_cell_length_a 4.371
_cell_length_b 4.371
_cell_length_c 10.868
_cell_angle_alpha 90.00
_cell_angle_beta 90.00
_cell_angle_gamma 90.00
loop_
_atom_site_label
_atom_site_type_symbol
_atom_site_fract_x
_atom_site_fract_y
_atom_site_fract_z
La1 La 0.000 0.500 0.250
Y1 Y 0.000 0.000 0.000
Ru1 Ru 0.000 0.000 0.500

# 6
# GGA-PBE Pr3ErIn4, relaxed
# Density of states at the Fermi level ... 4.1 states/eV per cell
# V ... 28.79 A^3/atom
# Formation energy from the elements ... -0.4853 eV/atom
data_Pr3ErIn4
_space_group_name_H-M_alt 'P 4/m m m'
_space_group_IT_number 123
_space_group_name_Hall '-P 4 2'
_cell_length_a 3.838
_cell_length_b 3.838
_cell_length_c 15.638
_cell_angle_alpha 90.00
_cell_angle_beta 90.00
_cell_angle_gamma 90.00
loop_
_atom_site_label
_atom_site_type_symbol
_atom_site_fract_x
_atom_site_fract_y
_atom_site_fract_z
Pr1 Pr 0.000 0.000 0.000
Pr2 Pr 0.000 0.000 0.258
Er1 Er 0.000 0.000 0.500
In1 In 0.500 0.500 0.129
In2 In 0.500 0.500 0.388

Total energy across the listed records, respectively: -3.232; -4.105; -4.842; -5.259; -6.249; -4.217 eV/atom.